<A>
# Cr2Ni2Mo

A geometry-optimized Cr2Ni2Mo structure (PBE, the Alexandria database).

abc: 6.995 6.995 2.512
angles: 90.00 90.00 90.00
Space group P4/mbm (No. 127)
Unique sites:
Cr (0.174, 0.326, 0.000) [4 per cell]
Ni (0.121, 0.621, 0.500) [4 per cell]
Mo (0.000, 0.000, 0.500) [2 per cell]

As for the density of states at the Fermi level: 12.27 states/eV/cell.

<B>
# Cr2Ni2Mo

A geometry-optimized Cr2Ni2Mo structure (PBE, the Alexandria database).

abc: 6.992 6.992 2.515
angles: 90.00 90.00 90.00
Space group P4/mbm (No. 127)
Unique sites:
Cr (0.116, 0.384, 0.000) [4 per cell]
Ni (0.178, 0.678, 0.500) [4 per cell]
Mo (0.000, 0.000, 0.000) [2 per cell]

As for the density of states at the Fermi level: 5.28 states/eV/cell.

Of all the structures shown, which is most stable? <A>, and <B> is the least stable.